Compound: Pa2CdCo
Source: Alexandria
Functional: PBE
Structure: optimized geometry

## Properties
- space-group type = No. 123
- energy relative to the lowest polymorph listed for this composition (meV per atom) = 0
- formation energy (meV per atom) = -88

Unit cell a=3.1122 b=3.1122 c=8.6497 alpha=90.00 beta=90.00 gamma=90.00
Last column: nearest neighbours and their distance in Å.
Fractional positions:
Pa (0.0000, 0.0000, 0.2038)  4 Co 2.82, 4 Pa 3.11
Pa (0.0000, 0.0000, 0.7962)  4 Co 2.82, 4 Pa 3.11
Cd (0.5000, 0.5000, 0.5000)  4 Cd 3.11, 8 Pa 3.38
Co (0.5000, 0.5000, 0.0000)  8 Pa 2.82, 4 Co 3.11